[1]
Entry from OQMD via LeMat-Bulk: a relaxed Li3Ir2W3 crystal (PBE). Values from VASP.

Geometry as Quantum ESPRESSO input:
```
&SYSTEM
  ibrav = 0, nat = 8, ntyp = 3
/
ATOMIC_SPECIES
Li 6.94 Li.upf
Ir 192.22 Ir.upf
W 183.84 W.upf
CELL_PARAMETERS angstrom
3.1634 0.0000 0.0000
0.0000 3.1634 0.0000
0.0000 0.0000 12.9658
ATOMIC_POSITIONS crystal
Li 0.0000 0.0000 0.0000
Li 0.0000 0.0000 0.5000
Li 0.5000 0.5000 0.0000
Ir 0.0000 0.5000 0.8329
Ir 0.5000 0.0000 0.1671
W 0.5000 0.5000 0.3117
W 0.5000 0.5000 0.5000
W 0.5000 0.5000 0.6883
```

Summary:
Space-group type   No. 115

[2]
Entry from OQMD via LeMat-Bulk: a relaxed LiIrW2 crystal (PBE). Values from VASP.

Geometry as Quantum ESPRESSO input:
```
&SYSTEM
  ibrav = 0, nat = 4, ntyp = 3
/
ATOMIC_SPECIES
Li 6.94 Li.upf
Ir 192.22 Ir.upf
W 183.84 W.upf
CELL_PARAMETERS angstrom
0.0000 3.0834 3.0834
3.0834 0.0000 3.0834
3.0834 3.0834 0.0000
ATOMIC_POSITIONS crystal
Li 0.0000 0.0000 0.0000
Ir 0.2500 0.2500 0.2500
W 0.5000 0.5000 0.5000
W 0.7500 0.7500 0.7500
```

Summary:
Space-group type   No. 216

[3]
Entry from OQMD via LeMat-Bulk: a relaxed LiZnIrW crystal (PBE). Values from VASP.

Geometry as Quantum ESPRESSO input:
```
&SYSTEM
  ibrav = 0, nat = 4, ntyp = 4
/
ATOMIC_SPECIES
Li 6.94 Li.upf
Zn 65.41 Zn.upf
Ir 192.22 Ir.upf
W 183.84 W.upf
CELL_PARAMETERS angstrom
0.0000 3.0266 3.0266
3.0266 0.0000 3.0266
3.0266 3.0266 0.0000
ATOMIC_POSITIONS crystal
Li 0.0000 0.0000 0.0000
Zn 0.7500 0.7500 0.7500
Ir 0.5000 0.5000 0.5000
W 0.2500 0.2500 0.2500
```

Summary:
Space-group type   No. 216
Excess energy over the best structure of this formula in the dataset   0.000 eV per atom

| no. | theoretical density (g cm⁻³) | E (eV for the cell shown) |
| --- | --- | --- |
| 1 | 12.2 | -52.90 |
| 2 | 16.1 | -35.99 |
| 3 | 13.4 | -25.68 |